The following is a GGA-PBE calculation of a relaxed PmDyRuPb crystal, from Alexandria via LeMat-Bulk.

Summary:
N(E_F) ... 2.47 states/eV/cell
SG ... F-43m
Size of the total moment ... 0.000 μB per formula unit
DFT total energy ... -0.2134 hartree per atom

Geometry as extended XYZ:
```
4
Lattice="5.185 0.000 0.000 2.593 4.490 0.000 2.593 1.497 4.234" Properties=species:S:1:pos:R:3 pbc="T T T"
Pb 2.593 1.497 1.058
Ru 7.778 4.490 3.175
Pm 0.000 0.000 0.000
Dy 5.185 2.994 2.117
```